(1)
! PBE-GGA BaBrO3, optimized geometry; values from VASP
! **Uncorrected formation energy**: -882 meV/atom
! **E_tot**: -4.58 eV per atom
! **Total magnetic moment**: 1.00 μB/f.u.
! **Calculated volume**: 19.1 Å³/atom
&SYSTEM
  ibrav = 0, nat = 10, ntyp = 3
/
ATOMIC_SPECIES
Ba 137.33 Ba.upf
Br 79.90 Br.upf
O 16.00 O.upf
ATOMIC_POSITIONS crystal
Ba 0.0000 0.0775 0.0000
Ba 0.5000 0.9225 0.5000
Br 0.0000 0.5936 0.3230
Br 0.5000 0.4064 0.8230
O 0.0000 0.9155 0.5244
O 0.2362 0.6720 0.1397
O 0.2638 0.3280 0.6397
O 0.5000 0.0845 0.0244
O 0.7362 0.3280 0.6397
O 0.7638 0.6720 0.1397
CELL_PARAMETERS angstrom
5.8571 0.0000 0.0000
0.0000 6.6164 0.0000
0.0000 0.0000 4.9213

=====

(2)
! PBE-GGA Sr2MgCoN, optimized geometry; values from VASP
! **Uncorrected formation energy**: 904 meV/atom
! **E_tot**: -3.17 eV per atom
! **Total magnetic moment**: 1.11 μB/f.u.
! **Calculated volume**: 27.3 Å³/atom
! **E above lowest polymorph**: 1127 meV per atom
&SYSTEM
  ibrav = 0, nat = 5, ntyp = 4
/
ATOMIC_SPECIES
Sr 87.62 Sr.upf
Mg 24.30 Mg.upf
Co 58.93 Co.upf
N 14.01 N.upf
ATOMIC_POSITIONS crystal
Sr 0.0000 0.5000 0.0000
Sr 0.5000 0.0000 0.0000
Mg 0.0000 0.0000 0.5000
Co 0.0000 0.0000 0.0000
N 0.5000 0.5000 0.5000
CELL_PARAMETERS angstrom
5.3867 0.0000 0.0000
0.0000 5.3867 0.0000
0.0000 0.0000 4.7026

=====

(3)
! PBE-GGA SrTaAs, optimized geometry; values from VASP
! **E_tot**: -5.66 eV per atom
! **Total magnetic moment**: 1.75 μB/f.u.
! **ΔH_f (0 K)**: 0.4056 eV per atom
! **Calculated volume**: 25.3 Å³/atom
! **E above lowest polymorph**: 1037 meV per atom
&SYSTEM
  ibrav = 0, nat = 12, ntyp = 3
/
ATOMIC_SPECIES
Sr 87.62 Sr.upf
Ta 180.95 Ta.upf
As 74.92 As.upf
ATOMIC_POSITIONS crystal
Sr 0.0000 0.0000 0.0000
Sr 0.0000 0.5000 0.5000
Sr 0.5000 0.0000 0.5000
Sr 0.5000 0.5000 0.0000
Ta 0.0000 0.0000 0.5000
Ta 0.0000 0.5000 0.0000
Ta 0.5000 0.0000 0.0000
Ta 0.5000 0.5000 0.5000
As 0.2500 0.2500 0.2500
As 0.2500 0.7500 0.7500
As 0.7500 0.2500 0.7500
As 0.7500 0.7500 0.2500
CELL_PARAMETERS angstrom
6.7224 0.0000 0.0000
0.0000 6.7224 0.0000
0.0000 0.0000 6.7224

=====

(4)
! PBE-GGA La2GaPdSe5, optimized geometry; values from VASP
! **Uncorrected formation energy**: -1247 meV/atom
! **E_tot**: -5.19 eV per atom
! **Total magnetic moment**: 0.00 μB/f.u.
! **Calculated volume**: 25.3 Å³/atom
&SYSTEM
  ibrav = 0, nat = 18, ntyp = 4
/
ATOMIC_SPECIES
La 138.91 La.upf
Ga 69.72 Ga.upf
Pd 106.42 Pd.upf
Se 78.96 Se.upf
ATOMIC_POSITIONS crystal
La 0.1216 0.8784 0.5000
La 0.1244 0.8756 0.1160
La 0.8756 0.1244 0.6160
La 0.8784 0.1216 0.0000
Ga 0.4257 0.5743 0.2731
Ga 0.5743 0.4257 0.7731
Pd 0.2464 0.7536 0.8913
Pd 0.7536 0.2464 0.3913
Se 0.0406 0.9594 0.8806
Se 0.2928 0.7072 0.4842
Se 0.3148 0.6852 0.1679
Se 0.3692 0.6308 0.8064
Se 0.4968 0.5032 0.0969
Se 0.5032 0.4968 0.5969
Se 0.6308 0.3692 0.3064
Se 0.6852 0.3148 0.6679
Se 0.7072 0.2928 0.9842
Se 0.9594 0.0406 0.3806
CELL_PARAMETERS angstrom
2.0424 -9.2312 0.0000
2.0424 9.2312 0.0000
0.0000 0.0000 12.0647